The following is a DFT calculation (PBE with a Hubbard U) of a relaxed Ba3PaCo2O6 crystal.

Results
The calculation puts the total moment at 0.42 μB per atom. The raw total energy is -6.80 eV per atom.

a = 6.095 Å, b = 6.095 Å, c = 7.265 Å
α = 90.00°, β = 90.00°, γ = 120.00°
Last column: magnetic moment on the atom in μB.
Fractional coordinates of all 12 atoms:
O: 0.332 0.166 0.679  0.03
O: 0.166 0.332 0.321  0.03
O: 0.834 0.166 0.679  0.03
O: 0.166 0.834 0.321  0.03
O: 0.668 0.834 0.321  0.03
O: 0.834 0.668 0.679  0.03
Co: 0.667 0.333 0.809  2.45
Co: 0.333 0.667 0.191  2.45
Pa: 0.000 0.000 0.500  0.12
Ba: 0.333 0.667 0.660  -0.02
Ba: 0.667 0.333 0.340  -0.02
Ba: 0.000 0.000 0.000  -0.02